A) A plane-wave DFT calculation with PBE-GGA was carried out for an optimized crystal structure of SiIrCl.

```
SiIrCl
1.0
-0.2222 1.8152 2.7280
0.1148 -2.5168 3.6559
9.2849 -0.1711 1.7310
Si Cl Ir
2 2 2
direct
0.9181 0.6084 0.1245
0.0819 0.3916 0.8755
0.7691 0.8194 0.3257
0.2309 0.1806 0.6743
0.3776 0.7872 0.9076
0.6224 0.2128 0.0924
```

=====

B) A plane-wave DFT calculation with PBE-GGA was carried out for an optimized crystal structure of SiIrCl.

```
SiIrCl
1.0
4.2142 0.0000 0.0000
2.1071 3.6496 0.0000
2.1071 1.2165 3.4409
Si Cl Ir
1 1 1
direct
0.7500 0.7500 0.7500
0.0000 0.0000 0.0000
0.5000 0.5000 0.5000
```

=====

C) A plane-wave DFT calculation with PBE-GGA was carried out for an optimized crystal structure of SiIrCl.

```
SiIrCl
1.0
-0.9779 3.4741 0.7853
-1.3034 0.4088 -3.4317
-17.4182 -6.2305 5.8735
Si Ir Cl
4 4 4
direct
0.0000 0.0000 0.5000
0.0000 0.0000 0.0000
0.5000 0.5000 0.0000
0.5000 0.5000 0.5000
0.0000 0.5000 0.0763
0.0000 0.5000 0.4237
0.5000 0.0000 0.5763
0.5000 0.0000 0.9237
0.0000 0.0000 0.6650
0.0000 0.0000 0.3350
0.5000 0.5000 0.1650
0.5000 0.5000 0.8350
```

=====

D) A plane-wave DFT calculation with PBE-GGA was carried out for an optimized crystal structure of SiIrCl.

```
SiIrCl
1.0
12.1279 0.0000 -0.0327
0.0000 3.1021 0.0000
-10.6627 0.0000 5.7961
Si Ir Cl
4 4 4
direct
0.6103 0.4971 0.7247
0.6103 0.9971 0.2247
0.1103 0.5029 0.2247
0.1103 0.0029 0.7247
0.9058 0.0000 0.9297
0.4058 0.5000 0.9297
0.4058 0.0000 0.4297
0.9058 0.5000 0.4297
0.0216 0.1112 0.8121
0.0216 0.6112 0.3121
0.5216 0.8888 0.3121
0.5216 0.3888 0.8121
```

=====

What is the stability order? It is C), A), D), B), from most stable to least stable.

=====

A) A plane-wave DFT calculation with PBE-GGA was carried out for an optimized crystal structure of SiIrCl.

```
SiIrCl
1.0
4.1966 0.0000 0.0000
2.0983 3.6344 0.0000
2.0983 1.2115 3.4265
Cl Si Ir
1 1 1
direct
0.5000 0.5000 0.5000
0.0000 0.0000 0.0000
0.7500 0.7500 0.7500
```

=====

B) A plane-wave DFT calculation with PBE-GGA was carried out for an optimized crystal structure of SiIrCl.

```
SiIrCl
1.0
4.0484 0.0000 0.0000
0.0000 4.0484 0.0000
0.0000 0.0000 9.4748
Si Cl Ir
2 2 2
direct
0.0000 0.5000 0.8722
0.5000 0.0000 0.1278
0.0000 0.5000 0.6559
0.5000 0.0000 0.3441
0.5000 0.5000 0.0000
0.0000 0.0000 0.0000
```

=====

What is the stability order? It is B), A), from most stable to least stable.

=====

A) A plane-wave DFT calculation with PBE-GGA was carried out for an optimized crystal structure of SmIrCl.

```
SmIrCl
1.0
-4.0743 -1.6963 3.0562
-0.5885 -3.3534 2.0688
3.6298 0.8535 10.0272
Ir Cl Sm
2 2 2
direct
0.8759 0.3504 0.8978
0.1241 0.6496 0.1022
0.2647 0.1235 0.3471
0.7353 0.8765 0.6529
0.6489 0.5197 0.1826
0.3511 0.4803 0.8174
```

=====

B) A plane-wave DFT calculation with PBE-GGA was carried out for an optimized crystal structure of SmIrCl.

```
SmIrCl
1.0
4.2880 0.0005 0.1116
2.1409 3.7153 0.1116
0.0096 0.0055 10.5884
Cl Sm Ir
2 2 2
direct
0.6813 0.6813 0.1679
0.3187 0.3187 0.8321
0.9921 0.9921 0.6786
0.0079 0.0079 0.3214
0.3335 0.3335 0.4946
0.6665 0.6665 0.5054
```

=====

What is the stability order? It is B), A), from most stable to least stable.

=====

A) A plane-wave DFT calculation with PBE-GGA was carried out for an optimized crystal structure of SnIr3Cl.

```
SnIr3Cl
1.0
-0.4068 -4.1974 2.6552
-0.2763 -2.6409 -4.2170
4.9590 -0.4915 -0.0172
Cl Ir Sn
1 3 1
direct
0.5000 0.5000 0.5000
0.0000 0.0000 0.5000
0.0000 0.5000 0.0000
0.5000 0.0000 0.0000
0.0000 0.0000 0.0000
```

=====

B) A plane-wave DFT calculation with PBE-GGA was carried out for an optimized crystal structure of SnIr3Cl.

```
SnIr3Cl
1.0
-4.1298 1.4044 1.1985
-1.1188 -4.2395 1.1128
1.4687 0.7195 4.2177
Ir Sn Cl
3 1 1
direct
0.0000 0.0000 0.5000
0.0000 0.5000 0.0000
0.5000 0.0000 0.0000
0.5000 0.5000 0.5000
0.0000 0.0000 0.0000
```

=====

What is the stability order? It is B), A), from most stable to least stable.